Ac2SmCd | Alexandria | PBE | relaxed; total magnetization = 0.000 Bohr magnetons per cell; calculated volume = 144.3 Å³ per cell; symmetry = Fm-3m, No. 225; calculated formation energy = -0.03 eV/f.u.; energy relative to the lowest polymorph listed for this composition = 0.115 eV per atom; VASP energy = -3.47 eV per atom
1.0
5.887 0.000 0.000
2.944 5.099 0.000
2.944 1.700 4.807
Ac Cd Sm
2 1 1
Cartesian
8.831 5.099 3.605
2.944 1.700 1.202
5.887 3.399 2.404
0.000 0.000 0.000